Record 1
A plane-wave DFT calculation with GGA-PBE was carried out for a relaxed structure of HoIr3.

```
4
Lattice="4.064 0.000 0.000 0.000 4.064 0.000 -2.032 -2.032 4.048" Properties=species:S:1:pos:R:3 pbc="T T T"
Ir 2.032 0.000 2.024
Ir 0.000 2.032 2.024
Ir 2.032 2.032 0.000
Ho 0.000 0.000 0.000
```

## Properties
The value obtained for the energy is -8.09 eV/atom. For the formation energy, the calculation gives -0.302 eV/atom. The total magnetic moment is 0.00 μB per formula unit.

---

Record 2
A plane-wave DFT calculation with GGA-PBE was carried out for a relaxed structure of K3Ho2IrO6.

```
12
Lattice="-1.614 -5.120 -2.186 5.351 2.004 -0.977 0.766 -1.800 6.196" Properties=species:S:1:pos:R:3 pbc="T T T"
K 4.610 -0.046 1.926
K -0.107 -4.871 1.107
K 2.251 -2.458 1.517
Ho 3.032 -0.368 -1.380
Ho 0.705 -2.749 -1.784
Ir 0.000 0.000 0.000
O 2.409 -5.029 2.385
O 2.908 -2.642 -1.189
O 2.094 0.112 0.648
O 4.645 -2.742 2.773
O 1.595 -2.275 4.222
O -0.142 -2.175 0.260
```

## Properties
The value obtained for the energy is -6.36 eV/atom. The uncorrected formation energy is -2.10 eV per atom. The total magnetic moment is 0.00 μB per formula unit.

---

Record 3
A plane-wave DFT calculation with GGA-PBE was carried out for a relaxed structure of K3Ho3IrO8.

```
15
Lattice="6.736 0.000 0.000 -3.368 5.834 -0.022 0.000 -3.867 6.286" Properties=species:S:1:pos:R:3 pbc="T T T"
K 0.000 0.000 0.000
K -1.684 2.917 -0.011
K 1.684 2.917 -0.011
Ho 3.368 -1.934 3.143
Ho 1.684 0.983 3.132
Ho -1.684 0.983 3.132
Ir 0.000 -1.933 3.143
O 0.000 1.951 1.986
O 3.368 0.015 4.278
O 3.368 2.092 2.035
O 0.000 -0.126 4.229
O 5.174 -1.036 2.046
O -1.806 3.002 4.218
O 1.562 -1.036 2.046
O 1.806 3.002 4.218
```

## Properties
The value obtained for the energy is -6.72 eV/atom. The uncorrected formation energy is -2.35 eV per atom. The total magnetic moment is 1.06 μB per formula unit.